Entry 1:
Computed, not measured: a relaxed BaSrLiHg crystal at the GGA-PBE level of DFT.

```
4
Lattice="4.710 0.000 0.000 0.000 4.948 0.000 -2.355 0.000 6.601" Properties=species:S:1:pos:R:3 pbc="T T T"
Sr 0.000 0.000 1.840
Hg 0.000 0.000 5.895
Li 2.355 2.474 0.797
Ba 2.355 2.474 4.670
```

DOS at the Fermi energy ... 3.44 states/eV per cell
V ... 38.5 Å³ per atom
Polymorph energy (0 for the lowest one) ... 0 kJ/mol of formula units
Energy relative to the elements ... -0.2687 eV/atom


Entry 2:
Computed, not measured: a relaxed MgSi2NiMo crystal at the GGA-PBE level of DFT.

```
5
Lattice="-1.690 -2.447 3.154 2.596 -3.469 -1.301 3.123 1.324 2.700" Properties=species:S:1:pos:R:3 pbc="T T T"
Mo 2.014 -2.296 2.277
Si 1.561 0.662 1.350
Ni 0.000 0.000 0.000
Mg 1.298 -1.734 -0.651
Si -0.845 -1.224 1.577
```

DOS at the Fermi energy ... 3.20 states/eV per cell
V ... 17.0 Å³ per atom
Raw formation energy ... 0.618 eV per atom


Entry 3:
Computed, not measured: a relaxed NdSe2I2 crystal at the GGA-PBE level of DFT.

```
10
Lattice="8.239 0.000 -0.515 4.119 7.268 -0.258 3.103 0.000 8.120" Properties=species:S:1:pos:R:3 pbc="T T T"
I 10.681 3.277 1.374
I 4.779 3.990 5.973
Se 4.922 0.000 7.607
Nd 4.119 4.825 -0.258
I 8.899 3.277 5.715
Se 8.234 0.000 1.384
I 6.562 3.990 1.632
Se 3.108 0.000 6.220
Se 6.419 0.000 -0.002
Nd 8.239 2.443 -0.515
```

V ... 49.8 Å³ per atom
Raw formation energy ... -1.069 eV per atom


Entry 4:
Computed, not measured: a relaxed ErScSiAg crystal at the GGA-PBE level of DFT.

```
4
Lattice="4.880 0.000 0.000 2.440 4.226 0.000 2.440 1.409 3.984" Properties=species:S:1:pos:R:3 pbc="T T T"
Ag 2.440 1.409 0.996
Si 7.320 4.226 2.988
Er 0.000 0.000 0.000
Sc 4.880 2.817 1.992
```

DOS at the Fermi energy ... 3.75 states/eV per cell
V ... 20.5 Å³ per atom
Raw formation energy ... -0.432 eV per atom


Entry 5:
Computed, not measured: a relaxed HoMn2Pd8 crystal at the GGA-PBE level of DFT.

```
11
Lattice="4.069 0.000 0.000 0.000 6.350 0.344 -2.035 -2.395 6.713" Properties=species:S:1:pos:R:3 pbc="T T T"
Pd 0.000 4.362 0.861
Pd 2.035 4.949 2.775
Pd 2.035 2.493 1.496
Pd 2.035 -0.407 6.197
Pd 0.000 0.595 2.023
Pd 2.035 3.360 5.034
Pd 0.000 -0.994 4.283
Pd 0.000 1.462 5.562
Ho 2.035 0.000 0.000
Mn 2.035 0.889 3.810
Mn 0.000 3.066 3.248
```

DOS at the Fermi energy ... 4.66 states/eV per cell
V ... 16.1 Å³ per atom
Energy relative to the elements ... -0.4243 eV/atom